Record 1
Nb2SnIr, relaxed, DFT PBE; crystal system = trigonal; density of states at the Fermi level = 4.2 states/eV per cell
1.0
3.591 0.000 0.000
1.796 3.110 0.000
1.796 1.037 7.479
Nb Ir Sn
2 1 1
Cartesian
1.796 1.037 1.519
5.387 3.110 5.960
0.000 0.000 0.000
3.591 2.073 3.740

Record 2
CsMgSbTe2, relaxed, DFT PBE; energy relative to the elements, uncorrected = -0.219 eV/atom; crystal system = tetragonal; density of states at the Fermi level = 4.9 states/eV per cell
1.0
-1.007 2.451 -5.136
-5.219 1.683 1.826
2.163 4.722 1.830
Cs Sb Mg Te
1 1 1 2
Cartesian
-2.031 4.428 -0.740
1.081 2.361 0.915
0.000 0.000 0.000
-2.609 0.841 0.913
-0.503 1.226 -2.568

Record 3
NbVN, relaxed, DFT PBE; energy relative to the elements, uncorrected = -0.801 eV/atom; crystal system = trigonal; density of states at the Fermi level = 1.5 states/eV per cell
1.0
-2.633 -0.103 3.867
-2.322 -1.084 -1.610
1.967 -1.904 1.289
Nb N V
1 1 1
Cartesian
-1.020 -1.692 2.610
-1.713 -1.389 0.562
-0.255 -0.010 0.374

Record 4
NaSr2Ag4Sn3, relaxed, DFT PBE; crystal system = tetragonal; density of states at the Fermi level = 4.7 states/eV per cell
1.0
4.829 0.000 0.000
0.000 4.829 0.000
0.000 0.000 11.302
Na Sr Ag Sn
1 2 4 3
Cartesian
2.414 2.414 5.651
2.414 0.000 2.643
0.000 2.414 8.659
2.414 2.414 0.000
0.000 0.000 0.000
2.414 0.000 7.129
0.000 2.414 4.173
0.000 0.000 5.651
2.414 0.000 9.831
0.000 2.414 1.471

Record 5
Cs2RhF, relaxed, DFT PBE; energy relative to the elements, uncorrected = -0.494 eV/atom; crystal system = tetragonal; density of states at the Fermi level = 12.4 states/eV per cell
1.0
-2.875 4.024 6.486
-8.041 -0.885 1.044
6.187 -5.177 -1.204
Cs Rh F
4 2 2
Cartesian
0.759 -5.212 0.190
-2.758 2.389 4.254
-0.975 -1.332 2.224
-6.482 0.079 5.985
-1.072 0.209 4.524
0.000 0.000 0.000
-3.656 -2.246 1.803
-5.458 1.570 3.765

Record 6
Pm3CuSi2Pd9, relaxed, DFT PBE; energy relative to the elements, uncorrected = -0.606 eV/atom; crystal system = trigonal; density of states at the Fermi level = 3.8 states/eV per cell
1.0
-1.500 -0.865 -5.517
-3.882 -0.800 4.211
-2.896 9.971 -0.775
Pm Cu Si Pd
3 1 2 9
Cartesian
-4.815 5.126 0.506
0.000 0.000 0.000
-3.463 3.181 -2.587
-1.448 4.986 -0.388
-3.560 0.803 0.842
-4.718 7.504 -2.923
-3.876 5.999 -4.475
-5.873 5.587 -2.309
-3.104 6.444 -1.637
-5.173 1.863 -0.444
-2.405 2.719 0.228
-4.402 2.308 2.394
-0.750 -0.432 -2.759
-1.941 -0.400 2.106
-2.691 -0.832 -0.653

Sequential total magnetization output: 0.0 0.0 0.0 0.0 0.0 0.0 μB/cell
Sequential DFT total energy output: -8.098 -2.790 -9.972 -3.131 -3.227 -5.668 eV/atom